Material: CaAl6Ag6
Method: DFT, PBE
State: optimized geometry

a = 5.428 Å, b = 7.106 Å, c = 7.106 Å
α = 79.87°, β = 67.54°, γ = 67.54°
Positions (direct):
Ca 0.000 0.000 0.000
Al 0.500 0.232 0.768
Ag 0.000 0.337 0.663
Ag 0.307 0.193 0.193
Ag 0.655 0.345 0.345
Ag 0.000 0.663 0.337
Al 0.000 0.500 0.000
Ag 0.693 0.807 0.807
Ag 0.345 0.655 0.655
Al 0.500 0.768 0.232
Al 0.000 0.000 0.500
Al 0.500 0.500 0.000
Al 0.500 0.000 0.500

- ΔE_f: -0.156 eV per atom
- Calculated volume: 18.0 Å³/atom
- Total magnetic moment: 0.0 μB per formula unit